P:
Entry from Alexandria: an optimized crystal structure of AcSiAs (PBE).

The structure in POSCAR format:
```
AcSiAs
1.0
-2.3574 -2.8748 2.3268
0.2509 -2.9351 -3.3722
3.1373 0.0132 3.1948
As Si Ac
1 1 1
direct
0.1619 0.0000 0.0000 As
0.1716 0.3333 0.6667 Si
0.6665 0.6667 0.3333 Ac
```

Values from the calculation:
Magnetization: 0.0 Bohr magnetons per cell

---

Q:
Entry from Alexandria: an optimized crystal structure of AcSiAs (PBE).

The structure in POSCAR format:
```
AcSiAs
1.0
-2.4069 -2.9889 2.1618
-1.3651 -4.4853 -3.2343
4.8474 -8.2308 -1.4958
Si As Ac
2 2 2
direct
0.8945 0.2681 0.9429 Si
0.1055 0.7319 0.0571 Si
0.1013 0.4222 0.3751 As
0.8987 0.5778 0.6249 As
0.3906 0.9592 0.2597 Ac
0.6094 0.0408 0.7403 Ac
```

Values from the calculation:
Magnetization: 0.0 Bohr magnetons per cell

---

Short version: P is the most stable of them.

---

P:
Entry from Alexandria: an optimized crystal structure of Ac2SiAs (PBE).

The structure in POSCAR format:
```
Ac2SiAs
1.0
3.8054 0.0000 0.0000
0.0000 3.8054 0.0000
0.0000 0.0000 7.9951
Si Ac As
1 2 1
direct
0.5000 0.5000 0.0000 Si
0.0000 0.0000 0.2608 Ac
0.0000 0.0000 0.7392 Ac
0.5000 0.5000 0.5000 As
```

Values from the calculation:
Magnetization: 0.0 Bohr magnetons per cell

---

Q:
Entry from Alexandria: an optimized crystal structure of Ac2SiAs (PBE).

The structure in POSCAR format:
```
Ac2SiAs
1.0
5.4810 0.0000 0.0000
2.7405 4.7466 0.0000
2.7405 1.5822 4.4752
Si Ac As
1 2 1
direct
0.5000 0.5000 0.5000 Si
0.2500 0.2500 0.2500 Ac
0.7500 0.7500 0.7500 Ac
0.0000 0.0000 0.0000 As
```

Values from the calculation:
Magnetization: 0.0 Bohr magnetons per cell

---

Short version: P is the most stable of them.

---

P:
Entry from Alexandria: an optimized crystal structure of Ac2SiAs (PBE).

The structure in POSCAR format:
```
Ac2SiAs
1.0
4.3204 0.0000 0.0000
0.0000 4.5692 -0.8115
0.0000 -0.0752 12.8452
Ac As Si
4 2 2
direct
0.7500 0.6877 0.3754 Ac
0.7500 0.9344 0.8689 Ac
0.2500 0.3123 0.6246 Ac
0.2500 0.0656 0.1311 Ac
0.2500 0.1878 0.3755 As
0.7500 0.8122 0.6245 As
0.7500 0.5303 0.0606 Si
0.2500 0.4697 0.9394 Si
```

Values from the calculation:
Magnetization: 0.0 Bohr magnetons per cell

---

Q:
Entry from Alexandria: an optimized crystal structure of Ac2SiAs (PBE).

The structure in POSCAR format:
```
Ac2SiAs
1.0
-2.6270 -2.6941 -2.4383
0.9762 -0.7869 -4.3050
3.7307 -7.2149 -0.1704
As Ac Si
1 2 1
direct
0.5000 0.5000 0.5000 As
0.7520 0.7520 0.7441 Ac
0.2480 0.2480 0.2559 Ac
0.0000 0.0000 0.0000 Si
```

Values from the calculation:
Magnetization: 0.0 Bohr magnetons per cell

---

Short version: P is the most stable of them.

---

P:
Entry from Alexandria: an optimized crystal structure of AcSmAs2 (PBE).

The structure in POSCAR format:
```
AcSmAs2
1.0
-0.3794 3.5330 -1.2256
-0.4700 -1.7880 -5.0088
-5.2910 -0.3524 0.6223
Ac Sm As
1 1 2
direct
0.5000 0.5000 0.5000 Ac
0.5000 0.0000 0.0000 Sm
0.0000 0.5000 0.0000 As
0.0000 0.0000 0.5000 As
```

Values from the calculation:
Magnetization: 0.0 Bohr magnetons per cell

---

Q:
Entry from Alexandria: an optimized crystal structure of AcSmAs2 (PBE).

The structure in POSCAR format:
```
AcSmAs2
1.0
-1.0170 0.9261 4.0994
0.6749 -2.9281 3.1094
6.7743 2.0767 3.4918
As Ac Sm
2 1 1
direct
0.0873 0.0873 0.7380 As
0.2451 0.2451 0.2647 As
0.6692 0.6692 0.9923 Ac
0.4984 0.4984 0.5049 Sm
```

Values from the calculation:
Magnetization: 0.0 Bohr magnetons per cell

---

Short version: Q is the most stable of them.